Material: SbBrN2
Method: DFT, PBE-GGA
State: relaxed

Summary:
- E_form (uncorrected): 1.245 eV per atom

CIF file:
```
data_SbBrN2
_symmetry_space_group_name_H-M 'I -4 2 d'
_symmetry_Int_Tables_number 122
_symmetry_space_group_name_Hall 'I -4 2bw'
_cell_length_a 5.925
_cell_length_b 5.925
_cell_length_c 8.676
_cell_angle_alpha 90.00
_cell_angle_beta 90.00
_cell_angle_gamma 90.00
loop_
_atom_site_label
_atom_site_fract_x
_atom_site_fract_y
_atom_site_fract_z
_atom_site_occupancy
Sb1 0.000 0.000 0.000 1
Br1 0.000 0.000 0.500 1
N1 0.148 0.250 0.125 1
```

=====

Material: SbBrN2
Method: DFT, PBE-GGA
State: relaxed

Summary:
- E_form (uncorrected): 1.805 eV per atom

CIF file:
```
data_SbBrN2
_symmetry_space_group_name_H-M 'R -3 m'
_symmetry_Int_Tables_number 166
_symmetry_space_group_name_Hall '-R 3 2"'
_cell_length_a 3.3129
_cell_length_b 3.3129
_cell_length_c 20.5901
_cell_angle_alpha 90.00
_cell_angle_beta 90.00
_cell_angle_gamma 120.00
loop_
_atom_site_label
_atom_site_fract_x
_atom_site_fract_y
_atom_site_fract_z
_atom_site_occupancy
Sb1 0.0000 0.0000 0.0000 1
Br1 0.0000 0.0000 0.5000 1
N1 0.0000 0.0000 0.1099 1
```

=====

Material: SbBrN
Method: DFT, PBE-GGA
State: relaxed

Summary:
- E_form (uncorrected): 0.475 eV per atom

CIF file:
```
data_SbBrN
_symmetry_space_group_name_H-M 'P 1 21/c 1'
_symmetry_Int_Tables_number 14
_cell_length_a 7.071
_cell_length_b 10.682
_cell_length_c 6.521
_cell_angle_alpha 90.00
_cell_angle_beta 107.30
_cell_angle_gamma 90.00
loop_
_symmetry_equiv_pos_as_xyz
'x,y,z'
'-x,-y,-z'
'-x,y+1/2,-z+1/2'
'x,-y+1/2,z+1/2'
loop_
_atom_site_label
_atom_site_fract_x
_atom_site_fract_y
_atom_site_fract_z
_atom_site_occupancy
Sb1 0.189 0.168 0.052 1
Br1 0.199 0.652 0.571 1
N1 0.285 0.243 0.827 1
```

=====

Material: Sb2BrN
Method: DFT, PBE-GGA
State: relaxed

Summary:
- E_form (uncorrected): 0.480 eV per atom

CIF file:
```
data_Sb2BrN
_symmetry_space_group_name_H-M 'I -4 2 d'
_symmetry_Int_Tables_number 122
_symmetry_space_group_name_Hall 'I -4 2bw'
_cell_length_a 5.710
_cell_length_b 5.710
_cell_length_c 13.515
_cell_angle_alpha 90.00
_cell_angle_beta 90.00
_cell_angle_gamma 90.00
loop_
_atom_site_label
_atom_site_fract_x
_atom_site_fract_y
_atom_site_fract_z
_atom_site_occupancy
Sb1 0.105 0.250 0.125 1
Br1 0.000 0.000 0.500 1
N1 0.000 0.000 0.000 1
```

=====

Across the entries above, ΔE to the lowest computed polymorph takes the values 0.499, 1.059, 0.523, 0.000 eV/atom, respectively.